{
  "formula": "Ni3BrF",
  "functional": "PBE+U",
  "state": "relaxed",
  "lattice": [[4.278, 0.000, 0.000], [0.000, 4.278, 0.000], [0.000, 0.000, 4.278]],
  "species": ["Ni", "Ni", "Ni", "Br", "F"],
  "frac_coords": [[0.000, 0.000, 0.500], [0.000, 0.500, 0.000], [0.500, 0.000, 0.000], [0.500, 0.500, 0.500], [0.000, 0.000, 0.000]],
  "spacegroup": "No. 221",
  "e_tot_ev_per_atom": -2.109,
  "e_above_lowest_polymorph_ev_per_atom": 0.000
}